# 1
VASP calculation (GGA+U) on a relaxed CoH8S2N4O8 crystal.

The space group is P-1 (No. 2) and the conventional cell measures 5.116, 6.601 and 7.622 Å, with angles of 90.60, 107.11 and 98.30 degrees. The asymmetric unit holds Co at (0.000, 0.000, 0.000), H at (0.142, 0.573, 0.740), H at (0.185, 0.822, 0.650), H at (0.272, 0.166, 0.405), H at (0.313, 0.388, 0.279), S at (0.467, 0.212, 0.801), N at (0.057, 0.695, 0.676), N at (0.182, 0.265, 0.308), O at (0.226, 0.787, 0.117), O at (0.328, 0.163, 0.945), O at (0.356, 0.059, 0.642) and O at (0.428, 0.421, 0.739).

As for the electronic total energy: -129.230 eV per cell. Its crystal system is triclinic.

---

# 2
VASP calculation (GGA+U) on a relaxed VFeAuF2 crystal.

The space group is P4/mmm (No. 123) and the conventional cell measures 4.414, 4.414 and 5.321 Å, with angles of 90.00, 90.00 and 90.00 degrees. The asymmetric unit holds V at (0.000, 0.000, 0.000), Fe at (0.500, 0.500, 0.000), Au at (0.000, 0.000, 0.500) and F at (0.000, 0.500, 0.500).

As for the electronic total energy: -17.570 eV per cell. Its crystal system is tetragonal.

---

What is the formula in the first record?
CoH8S2N4O8